# Ba2GaPd2 | Alexandria | PBE-GGA | optimized geometry
data_Ba2GaPd2
_chemical_formula_sum 'Ba6 Ga3 Pd6'
_space_group_name_H-M_alt 'R -3 m'
_space_group_IT_number 166
_space_group_name_Hall '-R 3 2"'
_cell_length_a 4.4712
_cell_length_b 4.4712
_cell_length_c 29.5321
_cell_angle_alpha 90.00
_cell_angle_beta 90.00
_cell_angle_gamma 120.00
loop_
_atom_site_label
_atom_site_type_symbol
_atom_site_fract_x
_atom_site_fract_y
_atom_site_fract_z
Ba1 Ba 0.0000 0.0000 0.0767
Ga1 Ga 0.0000 0.0000 0.5000
Pd1 Pd 0.0000 0.0000 0.1874
# ΔH_f (0 K), meV per atom: -556

---

# CaZnTc2 | Alexandria | PBE-GGA | optimized geometry
data_CaZnTc2
_chemical_formula_sum 'Ca2 Zn2 Tc4'
_space_group_name_H-M_alt 'C m m m'
_space_group_IT_number 65
_space_group_name_Hall '-C 2 2'
_cell_length_a 5.5579
_cell_length_b 9.3471
_cell_length_c 2.5846
_cell_angle_alpha 90.00
_cell_angle_beta 90.00
_cell_angle_gamma 90.00
loop_
_atom_site_label
_atom_site_type_symbol
_atom_site_fract_x
_atom_site_fract_y
_atom_site_fract_z
Ca1 Ca 0.0000 0.0000 0.0000
Zn1 Zn 0.0000 0.5000 0.0000
Tc1 Tc 0.2500 0.2500 0.5000
# ΔH_f (0 K), meV per atom: 526

---

# Ce2MnCl | Alexandria | PBE-GGA | optimized geometry
data_Ce2MnCl
_chemical_formula_sum 'Ce6 Mn3 Cl3'
_space_group_name_H-M_alt 'R -3 m'
_space_group_IT_number 166
_space_group_name_Hall '-R 3 2"'
_cell_length_a 3.8546
_cell_length_b 3.8546
_cell_length_c 22.1766
_cell_angle_alpha 90.00
_cell_angle_beta 90.00
_cell_angle_gamma 120.00
loop_
_atom_site_label
_atom_site_type_symbol
_atom_site_fract_x
_atom_site_fract_y
_atom_site_fract_z
Ce1 Ce 0.0000 0.0000 0.2322
Mn1 Mn 0.0000 0.0000 0.5000
Cl1 Cl 0.0000 0.0000 0.0000
# Formation energy (no corrections), eV/atom: -0.572
# E above lowest polymorph, eV/atom: 0.000

---

# KMoP | Alexandria | PBE-GGA | optimized geometry
data_KMoP
_chemical_formula_sum 'K4 Mo4 P4'
_space_group_name_H-M_alt 'F -4 3 m'
_space_group_IT_number 216
_space_group_name_Hall 'F -4 2 3'
_cell_length_a 6.7436
_cell_length_b 6.7436
_cell_length_c 6.7436
_cell_angle_alpha 90.00
_cell_angle_beta 90.00
_cell_angle_gamma 90.00
loop_
_atom_site_label
_atom_site_type_symbol
_atom_site_fract_x
_atom_site_fract_y
_atom_site_fract_z
K1 K 0.0000 0.0000 0.0000
Mo1 Mo 0.0000 0.0000 0.5000
P1 P 0.2500 0.2500 0.2500
# E above lowest polymorph, eV/atom: 1.382
# ΔH_f (0 K), meV per atom: 1021

---

# RbP2WCl | Alexandria | PBE-GGA | optimized geometry
data_RbP2WCl
_chemical_formula_sum 'Rb1 P2 W1 Cl1'
_space_group_name_H-M_alt 'P 4/m m m'
_space_group_IT_number 123
_space_group_name_Hall '-P 4 2'
_cell_length_a 5.1815
_cell_length_b 5.1815
_cell_length_c 5.2270
_cell_angle_alpha 90.00
_cell_angle_beta 90.00
_cell_angle_gamma 90.00
loop_
_atom_site_label
_atom_site_type_symbol
_atom_site_fract_x
_atom_site_fract_y
_atom_site_fract_z
Rb1 Rb 0.0000 0.0000 0.0000
P1 P 0.0000 0.5000 0.0000
W1 W 0.5000 0.5000 0.5000
Cl1 Cl 0.0000 0.0000 0.5000
# Formation energy (no corrections), eV/atom: 2.653
# E above lowest polymorph, eV/atom: 2.892

---

# KCdGaAu2 | Alexandria | PBE-GGA | optimized geometry
data_KCdGaAu2
_chemical_formula_sum 'K1 Cd1 Ga1 Au2'
_space_group_name_H-M_alt 'P 4/m m m'
_space_group_IT_number 123
_space_group_name_Hall '-P 4 2'
_cell_length_a 5.0655
_cell_length_b 5.0655
_cell_length_c 5.4035
_cell_angle_alpha 90.00
_cell_angle_beta 90.00
_cell_angle_gamma 90.00
loop_
_atom_site_label
_atom_site_type_symbol
_atom_site_fract_x
_atom_site_fract_y
_atom_site_fract_z
K1 K 0.0000 0.0000 0.0000
Cd1 Cd 0.5000 0.5000 0.0000
Ga1 Ga 0.5000 0.5000 0.5000
Au1 Au 0.0000 0.5000 0.5000
# E above lowest polymorph, eV/atom: 0.141
# ΔH_f (0 K), meV per atom: -113

---

# Tb3Tl2Te2 | Alexandria | PBE-GGA | optimized geometry
data_Tb3Tl2Te2
_chemical_formula_sum 'Tb3 Tl2 Te2'
_space_group_name_H-M_alt 'P -1'
_space_group_IT_number 2
_cell_length_a 4.6421
_cell_length_b 5.8322
_cell_length_c 9.2309
_cell_angle_alpha 104.43
_cell_angle_beta 90.06
_cell_angle_gamma 113.43
loop_
_space_group_symop_operation_xyz
'x,y,z'
'-x,-y,-z'
loop_
_atom_site_label
_atom_site_type_symbol
_atom_site_fract_x
_atom_site_fract_y
_atom_site_fract_z
Tb1 Tb 0.0000 0.0000 0.0000
Tb2 Tb 0.2075 0.4159 0.6927
Tl1 Tl 0.3372 0.6739 0.0810
Te1 Te 0.1057 0.2094 0.3490
# Formation energy (no corrections), eV/atom: -0.772

---

no.,uncorrected energy (eV/atom)
1,-4.0074
2,-5.4755
3,-6.2932
4,-4.7585
5,-2.6642
6,-2.4318
7,-4.3300